*w*
## Cd2CuW (PBEsol)

Data for Cd2CuW after structural relaxation.

a = 2.767 Å, b = 2.767 Å, c = 8.575 Å
α = 90.00°, β = 90.00°, γ = 90.00°
Fractional coordinates of all 4 atoms:
Cd1 0.000 0.000 0.987
Cd2 0.500 0.500 0.279
Cu1 0.000 0.000 0.511
W1 0.500 0.500 0.724

Results
Its space group is P4mm, No. 99.

*x*
## Cd2CuW (PBEsol)

Data for Cd2CuW after structural relaxation.

a = 4.074 Å, b = 4.074 Å, c = 4.908 Å
α = 114.52°, β = 114.52°, γ = 90.00°
Site moments in Bohr magnetons follow the coordinates.
Fractional coordinates of all 4 atoms:
Cd1 0.000 0.000 0.000  0.01
Cd2 0.750 0.250 0.500  0.00
Cu1 0.500 0.500 0.000  0.03
W1 0.250 0.750 0.500  0.21

Results
Its space group is I-4m2, No. 119.

It turns out *w* is the most stable, with the second structure 0.455 eV/atom higher.

*w*
## MnCdN2F (PBEsol)

Data for MnCdN2F after structural relaxation.

a = 3.637 Å, b = 3.637 Å, c = 4.039 Å
α = 90.00°, β = 90.00°, γ = 90.00°
Fractional coordinates of all 5 atoms:
N1 0.000 0.500 0.000
N2 0.500 0.000 0.000
F1 0.000 0.000 0.500
Mn1 0.000 0.000 0.000
Cd1 0.500 0.500 0.500

Results
Its space group is P4/mmm, No. 123.

*x*
## MnCdN2F (PBEsol)

Data for MnCdN2F after structural relaxation.

a = 4.144 Å, b = 4.144 Å, c = 4.229 Å
α = 90.00°, β = 90.00°, γ = 90.00°
Site moments in Bohr magnetons follow the coordinates.
Fractional coordinates of all 5 atoms:
N1 0.000 0.500 0.000  -0.64
N2 0.500 0.000 0.000  -0.64
F1 0.000 0.000 0.500  0.02
Mn1 0.500 0.500 0.500  4.55
Cd1 0.000 0.000 0.000  -0.04

Results
Its space group is P4/mmm, No. 123.

It turns out *w* is the most stable, with the second structure 1.228 eV/atom higher.

*w*
## CdPNF2 (PBEsol)

Data for CdPNF2 after structural relaxation.

a = 4.158 Å, b = 4.158 Å, c = 4.484 Å
α = 90.00°, β = 90.00°, γ = 90.00°
Site moments in Bohr magnetons follow the coordinates.
Fractional coordinates of all 5 atoms:
P1 0.500 0.500 0.500  0.73
N1 0.000 0.000 0.500  -0.88
F1 0.000 0.500 0.000  0.02
F2 0.500 0.000 0.000  0.02
Cd1 0.000 0.000 0.000  -0.07

Results
Its space group is P4/mmm, No. 123.

*x*
## CdPNF2 (PBEsol)

Data for CdPNF2 after structural relaxation.

a = 3.275 Å, b = 4.456 Å, c = 4.456 Å
α = 90.00°, β = 90.00°, γ = 90.00°
Fractional coordinates of all 5 atoms:
P1 0.000 0.000 0.000
N1 0.500 0.000 0.000
F1 0.000 0.000 0.500
F2 0.000 0.500 0.000
Cd1 0.500 0.500 0.500

Results
Its space group is P4/mmm, No. 123.

It turns out *x* is the most stable, with the second structure 0.854 eV/atom higher.